# La2YIn, relaxed, DFT PBE
data_La2YIn
_cell_length_a 3.793
_cell_length_b 5.584
_cell_length_c 5.883
_cell_angle_alpha 90.00
_cell_angle_beta 90.00
_cell_angle_gamma 90.00
_symmetry_space_group_name_H-M 'P 1'
_symmetry_Int_Tables_number 1
loop_
_symmetry_equiv_pos_as_xyz
'x,y,z'
loop_
_atom_site_label
_atom_site_type_symbol
_atom_site_fract_x
_atom_site_fract_y
_atom_site_fract_z
_atom_site_occupancy
La1 La 0.000 0.000 0.000 1
La2 La 0.500 0.500 0.000 1
Y1 Y 0.000 0.500 0.500 1
In1 In 0.500 0.000 0.500 1
# Crystal system   orthorhombic
# Formation enthalpy at 0 K   -0.178 eV/atom
# SG   No. 47

=====

# LaYIn, relaxed, DFT PBE
data_LaYIn
_cell_length_a 5.330
_cell_length_b 5.330
_cell_length_c 5.330
_cell_angle_alpha 60.00
_cell_angle_beta 60.00
_cell_angle_gamma 60.00
_symmetry_space_group_name_H-M 'P 1'
_symmetry_Int_Tables_number 1
loop_
_symmetry_equiv_pos_as_xyz
'x,y,z'
loop_
_atom_site_label
_atom_site_type_symbol
_atom_site_fract_x
_atom_site_fract_y
_atom_site_fract_z
_atom_site_occupancy
La1 La 0.000 0.000 0.000 1
Y1 Y 0.500 0.500 0.500 1
In1 In 0.250 0.250 0.250 1
# Crystal system   cubic
# Formation enthalpy at 0 K   -0.133 eV/atom
# SG   No. 216
# Polymorph energy (0 for the lowest one)   235 meV per atom

=====

# La2YIn, relaxed, DFT PBE
data_La2YIn
_cell_length_a 11.481
_cell_length_b 11.481
_cell_length_c 11.481
_cell_angle_alpha 18.66
_cell_angle_beta 18.66
_cell_angle_gamma 18.66
_symmetry_space_group_name_H-M 'P 1'
_symmetry_Int_Tables_number 1
loop_
_symmetry_equiv_pos_as_xyz
'x,y,z'
loop_
_atom_site_label
_atom_site_type_symbol
_atom_site_fract_x
_atom_site_fract_y
_atom_site_fract_z
_atom_site_occupancy
La1 La 0.000 0.000 0.000 1
La2 La 0.176 0.176 0.176 1
Y1 Y 0.421 0.421 0.421 1
In1 In 0.588 0.588 0.588 1
# Crystal system   trigonal
# Formation enthalpy at 0 K   -0.110 eV/atom
# SG   No. 160

=====

# La6Y2In, relaxed, DFT PBE
data_La6Y2In
_cell_length_a 9.649
_cell_length_b 9.649
_cell_length_c 6.006
_cell_angle_alpha 98.67
_cell_angle_beta 98.67
_cell_angle_gamma 141.52
_symmetry_space_group_name_H-M 'P 1'
_symmetry_Int_Tables_number 1
loop_
_symmetry_equiv_pos_as_xyz
'x,y,z'
loop_
_atom_site_label
_atom_site_type_symbol
_atom_site_fract_x
_atom_site_fract_y
_atom_site_fract_z
_atom_site_occupancy
La1 La 0.031 0.344 0.345 1
La2 La 0.197 0.197 0.847 1
La3 La 0.344 0.031 0.345 1
La4 La 0.656 0.969 0.655 1
La5 La 0.803 0.803 0.153 1
La6 La 0.969 0.656 0.655 1
Y1 Y 0.322 0.678 0.000 1
Y2 Y 0.678 0.322 0.000 1
In1 In 0.500 0.500 0.500 1
# Crystal system   monoclinic
# Formation enthalpy at 0 K   -0.038 eV/atom
# SG   No. 12

=====

# La3YIn4, relaxed, DFT PBE
data_La3YIn4
_cell_length_a 3.872
_cell_length_b 3.872
_cell_length_c 15.902
_cell_angle_alpha 90.00
_cell_angle_beta 90.00
_cell_angle_gamma 90.00
_symmetry_space_group_name_H-M 'P 1'
_symmetry_Int_Tables_number 1
loop_
_symmetry_equiv_pos_as_xyz
'x,y,z'
loop_
_atom_site_label
_atom_site_type_symbol
_atom_site_fract_x
_atom_site_fract_y
_atom_site_fract_z
_atom_site_occupancy
La1 La 0.000 0.000 0.000 1
La2 La 0.000 0.000 0.258 1
La3 La 0.000 0.000 0.742 1
Y1 Y 0.000 0.000 0.500 1
In1 In 0.500 0.500 0.129 1
In2 In 0.500 0.500 0.389 1
In3 In 0.500 0.500 0.611 1
In4 In 0.500 0.500 0.871 1
# Crystal system   tetragonal
# Formation enthalpy at 0 K   -0.517 eV/atom
# SG   No. 123

=====

# La2YIn, relaxed, DFT PBE
data_La2YIn
_cell_length_a 3.641
_cell_length_b 4.726
_cell_length_c 7.216
_cell_angle_alpha 90.00
_cell_angle_beta 90.28
_cell_angle_gamma 90.00
_symmetry_space_group_name_H-M 'P 1'
_symmetry_Int_Tables_number 1
loop_
_symmetry_equiv_pos_as_xyz
'x,y,z'
loop_
_atom_site_label
_atom_site_type_symbol
_atom_site_fract_x
_atom_site_fract_y
_atom_site_fract_z
_atom_site_occupancy
La1 La 0.000 0.000 0.000 1
La2 La 0.499 0.500 0.252 1
Y1 Y 0.000 0.000 0.533 1
In1 In 0.500 0.500 0.747 1
# Crystal system   monoclinic
# Formation enthalpy at 0 K   -0.226 eV/atom
# SG   No. 6

=====

# La12Y3In, relaxed, DFT PBE
data_La12Y3In
_cell_length_a 5.169
_cell_length_b 5.169
_cell_length_c 20.883
_cell_angle_alpha 90.00
_cell_angle_beta 90.00
_cell_angle_gamma 90.00
_symmetry_space_group_name_H-M 'P 1'
_symmetry_Int_Tables_number 1
loop_
_symmetry_equiv_pos_as_xyz
'x,y,z'
loop_
_atom_site_label
_atom_site_type_symbol
_atom_site_fract_x
_atom_site_fract_y
_atom_site_fract_z
_atom_site_occupancy
La1 La 0.000 0.000 0.000 1
La2 La 0.000 0.000 0.249 1
La3 La 0.000 0.000 0.500 1
La4 La 0.000 0.000 0.751 1
La5 La 0.000 0.500 0.121 1
La6 La 0.000 0.500 0.374 1
La7 La 0.000 0.500 0.626 1
La8 La 0.000 0.500 0.879 1
La9 La 0.500 0.000 0.121 1
La10 La 0.500 0.000 0.374 1
La11 La 0.500 0.000 0.626 1
La12 La 0.500 0.000 0.879 1
Y1 Y 0.500 0.500 0.248 1
Y2 Y 0.500 0.500 0.500 1
Y3 Y 0.500 0.500 0.752 1
In1 In 0.500 0.500 0.000 1
# Crystal system   tetragonal
# Formation enthalpy at 0 K   -0.059 eV/atom
# SG   No. 123

=====

# LaY2In, relaxed, DFT PBE
data_LaY2In
_cell_length_a 3.629
_cell_length_b 3.629
_cell_length_c 9.583
_cell_angle_alpha 90.00
_cell_angle_beta 90.00
_cell_angle_gamma 90.00
_symmetry_space_group_name_H-M 'P 1'
_symmetry_Int_Tables_number 1
loop_
_symmetry_equiv_pos_as_xyz
'x,y,z'
loop_
_atom_site_label
_atom_site_type_symbol
_atom_site_fract_x
_atom_site_fract_y
_atom_site_fract_z
_atom_site_occupancy
La1 La 0.000 0.000 0.000 1
Y1 Y 0.000 0.000 0.550 1
Y2 Y 0.500 0.500 0.288 1
In1 In 0.500 0.500 0.763 1
# Crystal system   tetragonal
# Formation enthalpy at 0 K   -0.220 eV/atom
# SG   No. 99

=====

# La4Y3In4, relaxed, DFT PBE
data_La4Y3In4
_cell_length_a 11.184
_cell_length_b 11.184
_cell_length_c 11.184
_cell_angle_alpha 161.34
_cell_angle_beta 129.54
_cell_angle_gamma 54.26
_symmetry_space_group_name_H-M 'P 1'
_symmetry_Int_Tables_number 1
loop_
_symmetry_equiv_pos_as_xyz
'x,y,z'
loop_
_atom_site_label
_atom_site_type_symbol
_atom_site_fract_x
_atom_site_fract_y
_atom_site_fract_z
_atom_site_occupancy
La1 La 0.004 0.837 0.166 1
La2 La 0.329 0.163 0.166 1
La3 La 0.671 0.837 0.834 1
La4 La 0.996 0.163 0.834 1
Y1 Y 0.000 0.500 0.500 1
Y2 Y 0.409 0.409 0.000 1
Y3 Y 0.591 0.591 0.000 1
In1 In 0.279 0.000 0.279 1
In2 In 0.281 0.781 0.500 1
In3 In 0.719 0.219 0.500 1
In4 In 0.721 0.000 0.721 1
# Crystal system   orthorhombic
# Formation enthalpy at 0 K   -0.355 eV/atom
# SG   No. 71

=====

# LaY2In, relaxed, DFT PBE
data_LaY2In
_cell_length_a 3.944
_cell_length_b 5.428
_cell_length_c 5.749
_cell_angle_alpha 90.00
_cell_angle_beta 90.00
_cell_angle_gamma 90.00
_symmetry_space_group_name_H-M 'P 1'
_symmetry_Int_Tables_number 1
loop_
_symmetry_equiv_pos_as_xyz
'x,y,z'
loop_
_atom_site_label
_atom_site_type_symbol
_atom_site_fract_x
_atom_site_fract_y
_atom_site_fract_z
_atom_site_occupancy
La1 La 0.000 0.000 0.000 1
Y1 Y 0.000 0.500 0.500 1
Y2 Y 0.500 0.500 0.000 1
In1 In 0.500 0.000 0.500 1
# Crystal system   orthorhombic
# Formation enthalpy at 0 K   -0.176 eV/atom
# SG   No. 47

=====

# LaY5In3, relaxed, DFT PBE
data_LaY5In3
_cell_length_a 9.432
_cell_length_b 9.432
_cell_length_c 6.801
_cell_angle_alpha 90.00
_cell_angle_beta 90.00
_cell_angle_gamma 120.00
_symmetry_space_group_name_H-M 'P 1'
_symmetry_Int_Tables_number 1
loop_
_symmetry_equiv_pos_as_xyz
'x,y,z'
loop_
_atom_site_label
_atom_site_type_symbol
_atom_site_fract_x
_atom_site_fract_y
_atom_site_fract_z
_atom_site_occupancy
La1 La 0.000 0.000 0.000 1
La2 La 0.000 0.000 0.500 1
Y1 Y 0.000 0.329 0.250 1
Y2 Y 0.000 0.671 0.750 1
Y3 Y 0.329 0.000 0.250 1
Y4 Y 0.329 0.329 0.750 1
Y5 Y 0.333 0.667 0.000 1
Y6 Y 0.333 0.667 0.500 1
Y7 Y 0.667 0.333 0.000 1
Y8 Y 0.667 0.333 0.500 1
Y9 Y 0.671 0.000 0.750 1
Y10 Y 0.671 0.671 0.250 1
In1 In 0.000 0.343 0.750 1
In2 In 0.000 0.657 0.250 1
In3 In 0.343 0.000 0.750 1
In4 In 0.343 0.343 0.250 1
In5 In 0.657 0.000 0.250 1
In6 In 0.657 0.657 0.750 1
# Crystal system   hexagonal
# Formation enthalpy at 0 K   -0.382 eV/atom
# SG   No. 193

=====

# LaYIn3, relaxed, DFT PBE
data_LaYIn3
_cell_length_a 5.809
_cell_length_b 5.809
_cell_length_c 5.809
_cell_angle_alpha 90.00
_cell_angle_beta 90.00
_cell_angle_gamma 90.00
_symmetry_space_group_name_H-M 'P 1'
_symmetry_Int_Tables_number 1
loop_
_symmetry_equiv_pos_as_xyz
'x,y,z'
loop_
_atom_site_label
_atom_site_type_symbol
_atom_site_fract_x
_atom_site_fract_y
_atom_site_fract_z
_atom_site_occupancy
La1 La 0.000 0.000 0.000 1
Y1 Y 0.500 0.500 0.500 1
In1 In 0.000 0.000 0.500 1
In2 In 0.000 0.500 0.000 1
In3 In 0.500 0.000 0.000 1
# Crystal system   cubic
# Formation enthalpy at 0 K   0.624 eV/atom
# SG   No. 221
# Polymorph energy (0 for the lowest one)   1108 meV per atom

=====

# La5Y2In, relaxed, DFT PBE
data_La5Y2In
_cell_length_a 6.830
_cell_length_b 6.830
_cell_length_c 7.315
_cell_angle_alpha 105.84
_cell_angle_beta 105.84
_cell_angle_gamma 114.54
_symmetry_space_group_name_H-M 'P 1'
_symmetry_Int_Tables_number 1
loop_
_symmetry_equiv_pos_as_xyz
'x,y,z'
loop_
_atom_site_label
_atom_site_type_symbol
_atom_site_fract_x
_atom_site_fract_y
_atom_site_fract_z
_atom_site_occupancy
La1 La 0.000 0.000 0.000 1
La2 La 0.022 0.022 0.488 1
La3 La 0.109 0.610 0.664 1
La4 La 0.556 0.556 0.999 1
La5 La 0.610 0.109 0.664 1
Y1 Y 0.136 0.597 0.177 1
Y2 Y 0.597 0.136 0.177 1
In1 In 0.525 0.525 0.494 1
# Crystal system   monoclinic
# Formation enthalpy at 0 K   -0.126 eV/atom
# SG   No. 8

=====

# LaY2In, relaxed, DFT PBE
data_LaY2In
_cell_length_a 5.527
_cell_length_b 5.527
_cell_length_c 3.899
_cell_angle_alpha 90.00
_cell_angle_beta 90.00
_cell_angle_gamma 90.08
_symmetry_space_group_name_H-M 'P 1'
_symmetry_Int_Tables_number 1
loop_
_symmetry_equiv_pos_as_xyz
'x,y,z'
loop_
_atom_site_label
_atom_site_type_symbol
_atom_site_fract_x
_atom_site_fract_y
_atom_site_fract_z
_atom_site_occupancy
La1 La 0.000 0.000 0.000 1
Y1 Y 0.000 0.500 0.500 1
Y2 Y 0.500 0.000 0.500 1
In1 In 0.500 0.500 0.000 1
# Crystal system   orthorhombic
# Formation enthalpy at 0 K   -0.149 eV/atom
# SG   No. 65

=====

# LaYIn, relaxed, DFT PBE
data_LaYIn
_cell_length_a 15.215
_cell_length_b 15.215
_cell_length_c 15.215
_cell_angle_alpha 166.58
_cell_angle_beta 166.58
_cell_angle_gamma 19.03
_symmetry_space_group_name_H-M 'P 1'
_symmetry_Int_Tables_number 1
loop_
_symmetry_equiv_pos_as_xyz
'x,y,z'
loop_
_atom_site_label
_atom_site_type_symbol
_atom_site_fract_x
_atom_site_fract_y
_atom_site_fract_z
_atom_site_occupancy
La1 La 0.061 0.061 0.000 1
La2 La 0.939 0.939 0.000 1
Y1 Y 0.206 0.206 0.000 1
Y2 Y 0.794 0.794 0.000 1
In1 In 0.365 0.365 0.000 1
In2 In 0.635 0.635 0.000 1
# Crystal system   tetragonal
# Formation enthalpy at 0 K   -0.265 eV/atom
# SG   No. 139
# Polymorph energy (0 for the lowest one)   102 meV per atom

=====

# LaY2In4, relaxed, DFT PBE
data_LaY2In4
_cell_length_a 9.998
_cell_length_b 9.998
_cell_length_c 9.998
_cell_angle_alpha 152.52
_cell_angle_beta 152.52
_cell_angle_gamma 39.25
_symmetry_space_group_name_H-M 'P 1'
_symmetry_Int_Tables_number 1
loop_
_symmetry_equiv_pos_as_xyz
'x,y,z'
loop_
_atom_site_label
_atom_site_type_symbol
_atom_site_fract_x
_atom_site_fract_y
_atom_site_fract_z
_atom_site_occupancy
La1 La 0.000 0.000 0.000 1
Y1 Y 0.250 0.250 0.000 1
Y2 Y 0.750 0.750 0.000 1
In1 In 0.127 0.627 0.500 1
In2 In 0.373 0.873 0.500 1
In3 In 0.627 0.127 0.500 1
In4 In 0.873 0.373 0.500 1
# Crystal system   tetragonal
# Formation enthalpy at 0 K   -0.304 eV/atom
# SG   No. 139

=====

# La15Y4In, relaxed, DFT PBE
data_La15Y4In
_cell_length_a 5.178
_cell_length_b 5.178
_cell_length_c 26.104
_cell_angle_alpha 90.00
_cell_angle_beta 90.00
_cell_angle_gamma 90.00
_symmetry_space_group_name_H-M 'P 1'
_symmetry_Int_Tables_number 1
loop_
_symmetry_equiv_pos_as_xyz
'x,y,z'
loop_
_atom_site_label
_atom_site_type_symbol
_atom_site_fract_x
_atom_site_fract_y
_atom_site_fract_z
_atom_site_occupancy
La1 La 0.000 0.000 0.000 1
La2 La 0.000 0.000 0.199 1
La3 La 0.000 0.000 0.399 1
La4 La 0.000 0.000 0.601 1
La5 La 0.000 0.000 0.801 1
La6 La 0.000 0.500 0.097 1
La7 La 0.000 0.500 0.299 1
La8 La 0.000 0.500 0.500 1
La9 La 0.000 0.500 0.701 1
La10 La 0.000 0.500 0.903 1
La11 La 0.500 0.000 0.097 1
La12 La 0.500 0.000 0.299 1
La13 La 0.500 0.000 0.500 1
La14 La 0.500 0.000 0.701 1
La15 La 0.500 0.000 0.903 1
Y1 Y 0.500 0.500 0.198 1
Y2 Y 0.500 0.500 0.400 1
Y3 Y 0.500 0.500 0.600 1
Y4 Y 0.500 0.500 0.802 1
In1 In 0.500 0.500 0.000 1
# Crystal system   tetragonal
# Formation enthalpy at 0 K   -0.046 eV/atom
# SG   No. 123

=====

# LaY2In, relaxed, DFT PBE
data_LaY2In
_cell_length_a 11.201
_cell_length_b 11.201
_cell_length_c 11.201
_cell_angle_alpha 18.80
_cell_angle_beta 18.80
_cell_angle_gamma 18.80
_symmetry_space_group_name_H-M 'P 1'
_symmetry_Int_Tables_number 1
loop_
_symmetry_equiv_pos_as_xyz
'x,y,z'
loop_
_atom_site_label
_atom_site_type_symbol
_atom_site_fract_x
_atom_site_fract_y
_atom_site_fract_z
_atom_site_occupancy
La1 La 0.000 0.000 0.000 1
Y1 Y 0.575 0.575 0.575 1
Y2 Y 0.759 0.759 0.759 1
In1 In 0.166 0.166 0.166 1
# Crystal system   trigonal
# Formation enthalpy at 0 K   -0.142 eV/atom
# SG   No. 160

=====

# La2YIn2, relaxed, DFT PBE
data_La2YIn2
_cell_length_a 8.267
_cell_length_b 8.267
_cell_length_c 4.775
_cell_angle_alpha 90.00
_cell_angle_beta 90.00
_cell_angle_gamma 90.00
_symmetry_space_group_name_H-M 'P 1'
_symmetry_Int_Tables_number 1
loop_
_symmetry_equiv_pos_as_xyz
'x,y,z'
loop_
_atom_site_label
_atom_site_type_symbol
_atom_site_fract_x
_atom_site_fract_y
_atom_site_fract_z
_atom_site_occupancy
La1 La 0.171 0.329 0.000 1
La2 La 0.329 0.829 0.000 1
La3 La 0.671 0.171 0.000 1
La4 La 0.829 0.671 0.000 1
Y1 Y 0.000 0.000 0.500 1
Y2 Y 0.500 0.500 0.500 1
In1 In 0.127 0.627 0.500 1
In2 In 0.373 0.127 0.500 1
In3 In 0.627 0.873 0.500 1
In4 In 0.873 0.373 0.500 1
# Crystal system   tetragonal
# Formation enthalpy at 0 K   -0.413 eV/atom
# SG   No. 127
# Polymorph energy (0 for the lowest one)   0 meV per atom

=====

# La2YZnIn, relaxed, DFT PBE
data_La2YZnIn
_cell_length_a 6.113
_cell_length_b 6.113
_cell_length_c 4.863
_cell_angle_alpha 90.00
_cell_angle_beta 90.00
_cell_angle_gamma 90.00
_symmetry_space_group_name_H-M 'P 1'
_symmetry_Int_Tables_number 1
loop_
_symmetry_equiv_pos_as_xyz
'x,y,z'
loop_
_atom_site_label
_atom_site_type_symbol
_atom_site_fract_x
_atom_site_fract_y
_atom_site_fract_z
_atom_site_occupancy
La1 La 0.000 0.500 0.000 1
La2 La 0.500 0.000 0.000 1
Y1 Y 0.000 0.000 0.500 1
Zn1 Zn 0.500 0.500 0.500 1
In1 In 0.500 0.500 0.000 1
# Crystal system   tetragonal
# Formation enthalpy at 0 K   0.381 eV/atom
# SG   No. 123